K2TlH: relaxed, PBE.

The offset from the most stable computed form is 7.9 kJ/mol of formula units.

Lattice parameters (Å, degrees): 3.519 3.519 9.153 90.00 90.00 90.00
Space group P4/mmm (No. 123)
Unique sites:
K (0.000, 0.000, 0.183) (multiplicity 2)
Tl (0.500, 0.500, 0.500) (multiplicity 1)
H (0.500, 0.500, 0.000) (multiplicity 1)


KTl2H2: relaxed, PBE.

The offset from the most stable computed form is 0.0 kJ/mol of formula units.

Lattice parameters (Å, degrees): 4.212 4.212 13.457 90.00 90.00 90.00
Space group I4/mmm (No. 139)
Unique sites:
K (0.000, 0.000, 0.000) (multiplicity 2)
Tl (0.000, 0.000, 0.330) (multiplicity 4)
H (0.000, 0.500, 0.250) (multiplicity 4)


K2TlH6: relaxed, PBE.

The electronic total energy comes out at -2.46 eV/atom.

Lattice parameters (Å, degrees): 8.123 8.123 8.123 90.00 90.00 90.00
Space group Fm-3m (No. 225)
Unique sites:
K (0.250, 0.250, 0.250) (multiplicity 8)
Tl (0.000, 0.000, 0.000) (multiplicity 4)
H (0.000, 0.000, 0.240) (multiplicity 24)


KTl2H2: relaxed, PBE.

The offset from the most stable computed form is 99.1 kJ/mol of formula units.

Lattice parameters (Å, degrees): 8.787 8.787 3.235 90.00 90.00 90.00
Space group P4/mbm (No. 127)
Unique sites:
K (0.000, 0.000, 0.000) (multiplicity 2)
Tl (0.129, 0.371, 0.000) (multiplicity 4)
H (0.097, 0.597, 0.500) (multiplicity 4)